Density functional theory data (PBE) for crystalline PrNd4Ho at its relaxed geometry.

a b c (Å): 6.722 6.722 6.722
angles (deg): 60.00 60.00 60.00
Element x y z (fractional)
Nd1 0.626 0.626 0.626
Pr1 0.250 0.250 0.250
Ho1 0.000 0.000 0.000
Nd2 0.626 0.626 0.123
Nd3 0.626 0.123 0.626
Nd4 0.123 0.626 0.626

Calculated values
Formation energy   0.254 eV per atom
ΔE to the lowest computed polymorph   0.239 eV per atom



Density functional theory data (PBE) for crystalline Pr3Nd2Ho8 at its relaxed geometry.

a b c (Å): 5.639 7.717 10.969
angles (deg): 110.60 90.03 90.00
Element x y z (fractional)
Ho1 0.001 0.666 0.332
Pr1 0.000 0.706 0.000
Ho2 0.500 0.602 0.783
Ho3 0.000 0.867 0.735
Ho4 0.999 0.334 0.668
Ho5 0.000 0.133 0.265
Nd1 0.499 0.241 0.483
Nd2 0.501 0.759 0.517
Ho6 0.500 0.182 0.783
Ho7 0.500 0.398 0.217
Pr2 0.000 0.294 0.000
Pr3 0.500 0.000 0.000
Ho8 0.500 0.818 0.217

Calculated values
Formation energy   0.253 eV per atom
ΔE to the lowest computed polymorph   0.232 eV per atom



Density functional theory data (PBE) for crystalline Pr4Nd5Ho at its relaxed geometry.

a b c (Å): 5.680 10.625 6.643
angles (deg): 90.30 115.31 90.00
Element x y z (fractional)
Ho1 0.500 0.000 0.000
Pr1 0.047 0.754 0.095
Nd1 0.197 0.066 0.395
Nd2 0.195 0.436 0.389
Nd3 0.805 0.564 0.611
Nd4 0.803 0.934 0.605
Nd5 0.500 0.500 0.000
Pr2 0.953 0.246 0.905
Pr3 0.327 0.750 0.653
Pr4 0.673 0.250 0.347

Calculated values
Formation energy   0.162 eV per atom
ΔE to the lowest computed polymorph   0.000 eV per atom



Density functional theory data (PBE) for crystalline Pr2NdHo4 at its relaxed geometry.

a b c (Å): 8.976 8.968 8.969
angles (deg): 135.52 99.35 97.09
Element x y z (fractional)
Ho1 0.974 0.749 0.275
Ho2 0.875 0.609 0.733
Ho3 0.875 0.054 0.178
Nd1 0.097 0.490 0.392
Pr1 0.598 0.490 0.893
Ho4 0.374 0.053 0.678
Ho5 0.275 0.050 0.274
Pr2 0.625 0.381 0.256
Nd2 0.153 0.045 0.893
Ho6 0.473 0.745 0.771
Pr3 0.125 0.382 0.757
Pr4 0.652 0.045 0.392
Ho7 0.777 0.048 0.772
Ho8 0.375 0.608 0.234

Calculated values
Formation energy   0.177 eV per atom
ΔE to the lowest computed polymorph   0.000 eV per atom



Density functional theory data (PBE) for crystalline Pr3Nd2Ho6 at its relaxed geometry.

a b c (Å): 4.800 4.800 16.973
angles (deg): 98.13 98.13 90.00
Element x y z (fractional)
Nd1 0.546 0.546 0.093
Ho1 0.309 0.309 0.618
Ho2 0.120 0.620 0.241
Ho3 0.620 0.120 0.241
Pr1 0.000 0.000 0.000
Ho4 0.880 0.380 0.759
Nd2 0.454 0.454 0.907
Pr2 0.205 0.205 0.410
Ho5 0.380 0.880 0.759
Ho6 0.691 0.691 0.382
Pr3 0.795 0.795 0.590

Calculated values
Formation energy   0.253 eV per atom
ΔE to the lowest computed polymorph   0.065 eV per atom



Density functional theory data (PBE) for crystalline Pr4NdHo at its relaxed geometry.

a b c (Å): 8.233 8.233 5.196
angles (deg): 89.99 89.99 36.94
Element x y z (fractional)
Nd1 0.500 0.500 0.500
Pr1 0.165 0.165 0.500
Pr2 0.334 0.334 0.000
Pr3 0.835 0.835 0.500
Pr4 0.666 0.666 0.000
Ho1 0.000 0.000 0.000

Calculated values
Formation energy   0.016 eV per atom
ΔE to the lowest computed polymorph   0.000 eV per atom



Density functional theory data (PBE) for crystalline PrNd4Ho at its relaxed geometry.

a b c (Å): 8.199 8.199 5.167
angles (deg): 90.01 90.01 36.89
Element x y z (fractional)
Nd1 0.666 0.666 0.000
Nd2 0.166 0.166 0.500
Pr1 0.500 0.500 0.500
Ho1 0.000 0.000 0.000
Nd3 0.834 0.834 0.500
Nd4 0.334 0.334 0.000

Calculated values
Formation energy   0.015 eV per atom
ΔE to the lowest computed polymorph   0.000 eV per atom



Density functional theory data (PBE) for crystalline PrNd2Ho6 at its relaxed geometry.

a b c (Å): 7.435 7.435 7.656
angles (deg): 60.95 60.95 60.00
Element x y z (fractional)
Ho1 0.616 0.048 0.288
Ho2 0.785 0.259 0.697
Nd1 0.755 0.755 0.735
Pr1 0.316 0.316 0.053
Ho3 0.048 0.616 0.288
Ho4 0.048 0.048 0.288
Ho5 0.259 0.785 0.697
Ho6 0.259 0.259 0.697
Nd2 0.579 0.579 0.262

Calculated values
Formation energy   0.327 eV per atom
ΔE to the lowest computed polymorph   0.129 eV per atom



Density functional theory data (PBE) for crystalline Pr4Nd7Ho at its relaxed geometry.

a b c (Å): 7.393 9.781 9.213
angles (deg): 81.17 90.05 40.96
Element x y z (fractional)
Pr1 0.528 0.720 0.330
Nd1 0.781 0.218 0.331
Pr2 0.472 0.280 0.670
Nd2 0.500 0.000 0.000
Nd3 0.252 0.500 0.000
Pr3 0.278 0.222 0.332
Nd4 0.748 0.500 0.000
Nd5 0.968 0.279 0.671
Ho1 0.000 0.000 0.000
Nd6 0.219 0.782 0.669
Pr4 0.722 0.778 0.668
Nd7 0.032 0.721 0.329

Calculated values
Formation energy   0.016 eV per atom
ΔE to the lowest computed polymorph   0.000 eV per atom



Density functional theory data (PBE) for crystalline Pr5Nd2Ho at its relaxed geometry.

a b c (Å): 5.209 7.351 14.748
angles (deg): 90.00 90.00 90.00
Element x y z (fractional)
Pr1 0.500 0.249 0.376
Pr2 0.000 0.500 0.752
Pr3 0.000 0.000 0.000
Pr4 0.500 0.251 0.876
Nd1 0.500 0.751 0.376
Pr5 0.000 0.500 0.248
Pr6 0.500 0.751 0.624
Pr7 0.500 0.749 0.124
Pr8 0.000 0.500 0.500
Nd2 0.500 0.249 0.624
Ho1 0.000 0.500 0.000
Nd3 0.500 0.749 0.876
Pr9 0.000 0.000 0.252
Nd4 0.500 0.251 0.124
Pr10 0.000 0.000 0.748
Ho2 0.000 0.000 0.500

Calculated values
Formation energy   0.014 eV per atom
ΔE to the lowest computed polymorph   0.000 eV per atom